# 1
Crystalline Li2LaCd at its relaxed geometry. Source: Alexandria via LeMat-Bulk, functional PBEsol.

Summary:
The formation energy comes out at -0.069 eV/atom.

CIF file:
```
data_Li2LaCd
_chemical_formula_sum 'Li4 La2 Cd2'
_space_group_name_H-M_alt 'C 1 m 1'
_space_group_IT_number 8
_cell_length_a 9.3819
_cell_length_b 4.6499
_cell_length_c 5.2523
_cell_angle_alpha 90.00
_cell_angle_beta 122.66
_cell_angle_gamma 90.00
loop_
_space_group_symop_operation_xyz
'x,y,z'
'x,-y,z'
'x+1/2,y+1/2,z'
'x+1/2,-y+1/2,z'
loop_
_atom_site_label
_atom_site_type_symbol
_atom_site_fract_x
_atom_site_fract_y
_atom_site_fract_z
Li1 Li 0.0000 0.0000 0.0000
Li2 Li 0.2235 0.5000 0.2131
La1 La 0.4969 0.0000 0.4972
Cd1 Cd 0.2686 0.0000 0.7790
```



# 2
Crystalline LiLa2Cd at its relaxed geometry. Source: Alexandria via LeMat-Bulk, functional PBEsol.

Summary:
The formation energy comes out at -0.104 eV/atom.

CIF file:
```
data_LiLa2Cd
_chemical_formula_sum 'Li2 La4 Cd2'
_space_group_name_H-M_alt 'A m m 2'
_space_group_IT_number 38
_cell_length_a 5.0105
_cell_length_b 3.3964
_cell_length_c 12.8466
_cell_angle_alpha 90.00
_cell_angle_beta 90.00
_cell_angle_gamma 90.00
loop_
_space_group_symop_operation_xyz
'x,y,z'
'-x,-y,z'
'-x,y,z'
'x,-y,z'
'x,y+1/2,z+1/2'
'-x,-y+1/2,z+1/2'
'-x,y+1/2,z+1/2'
'x,-y+1/2,z+1/2'
loop_
_atom_site_label
_atom_site_type_symbol
_atom_site_fract_x
_atom_site_fract_y
_atom_site_fract_z
Li1 Li 0.0000 0.0000 0.0000
La1 La 0.0000 0.0000 0.7263
La2 La 0.5000 0.0000 0.3905
Cd1 Cd 0.5000 0.0000 0.1157
```



# 3
Crystalline Li4LaCd at its relaxed geometry. Source: Alexandria via LeMat-Bulk, functional PBEsol.

Summary:
The formation energy comes out at -0.074 eV/atom.

CIF file:
```
data_Li4LaCd
_chemical_formula_sum 'Li16 La4 Cd4'
_space_group_name_H-M_alt 'F -4 3 m'
_space_group_IT_number 216
_space_group_name_Hall 'F -4 2 3'
_cell_length_a 7.8835
_cell_length_b 7.8835
_cell_length_c 7.8835
_cell_angle_alpha 90.00
_cell_angle_beta 90.00
_cell_angle_gamma 90.00
loop_
_atom_site_label
_atom_site_type_symbol
_atom_site_fract_x
_atom_site_fract_y
_atom_site_fract_z
Li1 Li 0.1223 0.1223 0.1223
La1 La 0.0000 0.0000 0.5000
Cd1 Cd 0.2500 0.2500 0.7500
```



# 4
Crystalline Li2LaCd at its relaxed geometry. Source: Alexandria via LeMat-Bulk, functional PBEsol.

Summary:
The formation energy comes out at -0.049 eV/atom.

CIF file:
```
data_Li2LaCd
_chemical_formula_sum 'Li2 La1 Cd1'
_space_group_name_H-M_alt 'P 4/m m m'
_space_group_IT_number 123
_space_group_name_Hall '-P 4 2'
_cell_length_a 3.3767
_cell_length_b 3.3767
_cell_length_c 7.7610
_cell_angle_alpha 90.00
_cell_angle_beta 90.00
_cell_angle_gamma 90.00
loop_
_atom_site_label
_atom_site_type_symbol
_atom_site_fract_x
_atom_site_fract_y
_atom_site_fract_z
Li1 Li 0.0000 0.0000 0.1892
La1 La 0.5000 0.5000 0.5000
Cd1 Cd 0.5000 0.5000 0.0000
```



# 5
Crystalline Li2LaCd at its relaxed geometry. Source: Alexandria via LeMat-Bulk, functional PBEsol.

Summary:
The formation energy comes out at -0.069 eV/atom.

CIF file:
```
data_Li2LaCd
_chemical_formula_sum 'Li4 La2 Cd2'
_space_group_name_H-M_alt 'C 1 2/m 1'
_space_group_IT_number 12
_cell_length_a 10.2846
_cell_length_b 3.3284
_cell_length_c 5.6525
_cell_angle_alpha 90.00
_cell_angle_beta 101.33
_cell_angle_gamma 90.00
loop_
_space_group_symop_operation_xyz
'x,y,z'
'-x,-y,-z'
'-x,y,-z'
'x,-y,z'
'x+1/2,y+1/2,z'
'-x+1/2,-y+1/2,-z'
'-x+1/2,y+1/2,-z'
'x+1/2,-y+1/2,z'
loop_
_atom_site_label
_atom_site_type_symbol
_atom_site_fract_x
_atom_site_fract_y
_atom_site_fract_z
Li1 Li 0.2318 0.0000 0.1956
La1 La 0.0000 0.0000 0.5000
Cd1 Cd 0.0000 0.5000 0.0000
```



# 6
Crystalline LiLa2Cd at its relaxed geometry. Source: Alexandria via LeMat-Bulk, functional PBEsol.

Summary:
The formation energy comes out at -0.114 eV/atom.

CIF file:
```
data_LiLa2Cd
_chemical_formula_sum 'Li2 La4 Cd2'
_space_group_name_H-M_alt 'I m m 2'
_space_group_IT_number 44
_cell_length_a 3.7218
_cell_length_b 5.4077
_cell_length_c 10.7056
_cell_angle_alpha 90.00
_cell_angle_beta 90.00
_cell_angle_gamma 90.00
loop_
_space_group_symop_operation_xyz
'x,y,z'
'-x,-y,z'
'-x,y,z'
'x,-y,z'
'x+1/2,y+1/2,z+1/2'
'-x+1/2,-y+1/2,z+1/2'
'-x+1/2,y+1/2,z+1/2'
'x+1/2,-y+1/2,z+1/2'
loop_
_atom_site_label
_atom_site_type_symbol
_atom_site_fract_x
_atom_site_fract_y
_atom_site_fract_z
Li1 Li 0.0000 0.0000 0.0000
La1 La 0.0000 0.0000 0.4578
La2 La 0.0000 0.5000 0.2254
Cd1 Cd 0.0000 0.5000 0.6884
```



Number 1: DOS at the Fermi energy 3.708 states/eV/f.u.. Number 2: DOS at the Fermi energy 3.371 states/eV/f.u.. Number 3: DOS at the Fermi energy 4.011 states/eV/f.u.. Number 4: DOS at the Fermi energy 3.087 states/eV/f.u.. Number 5: DOS at the Fermi energy 3.188 states/eV/f.u.. Number 6: DOS at the Fermi energy 4.252 states/eV/f.u..